Compound: Na2ScInRu
Source: Alexandria via LeMat-Bulk
Functional: PBE-GGA
Structure: optimized geometry

Output
- SG: P4/mmm (123)
- VASP energy: -18.44 eV per cell

abc: 5.4675 4.7026 5.4675
angles: 90.00 90.00 90.00
Sites, in units of the cell vectors:
Ru: 0.0000 0.0000 0.0000
Na: 0.0000 0.0000 0.5000
Na: 0.5000 0.0000 0.0000
In: 0.5000 0.5000 0.5000
Sc: 0.0000 0.5000 0.0000


Compound: Be2AsW
Source: Alexandria via LeMat-Bulk
Functional: PBE-GGA
Structure: optimized geometry

Output
- SG: F222 (22)
- VASP energy: -24.61 eV per cell

abc: 4.7424 4.7424 4.7400
angles: 137.50 137.48 61.73
Sites, in units of the cell vectors:
Be: 0.7503 0.2503 0.5000
As: 0.2500 0.7500 0.5000
Be: 0.9997 0.9997 0.0000
W: 0.5000 0.5000 0.0000


Compound: Pm7SmY2
Source: Alexandria via LeMat-Bulk
Functional: PBE-GGA
Structure: optimized geometry

Output
- SG: Cmmm (65)
- Distance to the lowest polymorph of the same formula: 2.616 eV/f.u.

abc: 5.4995 9.6809 9.6809
angles: 126.75 90.00 90.00
Sites, in units of the cell vectors:
Sm: 0.0000 0.0000 0.0000
Y: 0.5000 0.2930 0.7070
Pm: 0.5000 0.7110 0.9304
Pm: 0.5000 0.2890 0.0696
Pm: 0.0000 0.2029 0.7971
Pm: 0.5000 0.9304 0.7110
Y: 0.5000 0.7070 0.2930
Pm: 0.5000 0.0696 0.2890
Pm: 0.5000 0.5000 0.5000
Pm: 0.0000 0.7971 0.2029


DOS(E_F) across the listed records, respectively: 0.74 0.47 1.58 states/eV per atom.